# 1
Entry from Alexandria: a relaxed CaPmY crystal (PBE-GGA).

## Properties
* energy: -4.321 eV per atom
* ΔE to the lowest computed polymorph: 45 meV per atom
* calculated volume: 439.7 Å³/cell
* ΔE_f: 0.0849 eV/atom

Cell: 3.6218 3.6218 33.5179 Å, 90.00 90.00 90.00°
Space group I4/mmm (No. 139)
Inequivalent atoms, fractional coordinates:
Ca (0.0000, 0.0000, 0.0542) x4
Pm (0.0000, 0.0000, 0.3627) x4
Y (0.0000, 0.0000, 0.2116) x4

# 2
Entry from Alexandria: a relaxed KCuRe3 crystal (PBE-GGA).

## Properties
* energy: -4.547 eV per atom
* ΔE to the lowest computed polymorph: 1526 meV per atom
* calculated volume: 90.5 Å³/cell
* ΔE_f: 3.9604 eV/atom

Cell: 4.4896 4.4896 4.4896 Å, 90.00 90.00 90.00°
Space group Pm-3m (No. 221)
Inequivalent atoms, fractional coordinates:
K (0.0000, 0.0000, 0.0000) x1
Cu (0.5000, 0.5000, 0.5000) x1
Re (0.0000, 0.0000, 0.5000) x3

# 3
Entry from Alexandria: a relaxed SiC2N crystal (PBE-GGA).

## Properties
* energy: -5.074 eV per atom
* E_form (uncorrected): 2.9750 eV per atom
* ΔE to the lowest computed polymorph: 1788 meV per atom
* calculated volume: 133.4 Å³/cell

Cell: 5.1102 5.1102 5.1102 Å, 90.00 90.00 90.00°
Space group Fm-3m (No. 225)
Inequivalent atoms, fractional coordinates:
Si (0.0000, 0.0000, 0.0000) x4
C (0.2500, 0.2500, 0.2500) x8
N (0.0000, 0.0000, 0.5000) x4

# 4
Entry from Alexandria: a relaxed La2Pr2DyEr2 crystal (PBE-GGA).

## Properties
* energy: -4.709 eV per atom
* calculated volume: 478.5 Å³/cell
* ΔE_f: 0.0255 eV/atom

Cell: 11.4562 5.1553 8.1867 Å, 90.00 98.22 90.00°
Space group C2/m (No. 12)
Inequivalent atoms, fractional coordinates:
La (0.1419, 0.0000, 0.4253) x4
Pr (0.2142, 0.5000, 0.1407) x4
Dy (0.0000, 0.0000, 0.0000) x2
Er (0.0702, 0.5000, 0.7150) x4

# 5
Entry from Alexandria: a relaxed SrIn2GaI5 crystal (PBE-GGA).

## Properties
* energy: -2.814 eV per atom
* E_form (uncorrected): -0.8207 eV per atom
* calculated volume: 1669.9 Å³/cell

Cell: 4.7708 20.4598 17.1075 Å, 90.00 90.00 90.00°
Space group Cmc2_1 (No. 36)
Inequivalent atoms, fractional coordinates:
Sr (0.0000, 0.2394, 0.0000) x4
In (0.0000, 0.0779, 0.6258) x4
In (0.0000, 0.1281, 0.2325) x4
Ga (0.0000, 0.4475, 0.4187) x4
I (0.0000, 0.0806, 0.0397) x4
I (0.0000, 0.2511, 0.6358) x4
I (0.0000, 0.2902, 0.3723) x4
I (0.0000, 0.3981, 0.9848) x4
I (0.0000, 0.4867, 0.7397) x4

# 6
Entry from Alexandria: a relaxed Pm3SmSn crystal (PBE-GGA).

## Properties
* energy: -4.758 eV per atom
* calculated volume: 674.6 Å³/cell
* ΔE_f: -0.1631 eV/atom

Cell: 6.6208 16.9041 6.0280 Å, 90.00 90.00 90.00°
Space group Cmcm (No. 63)
Inequivalent atoms, fractional coordinates:
Pm (0.0000, 0.0000, 0.0000) x4
Pm (0.2495, 0.1680, 0.2500) x8
Sm (0.0000, 0.4447, 0.2500) x4
Sn (0.0000, 0.1675, 0.7500) x4